Version a
Na2TlHPb | GGA-PBE | relaxed

Calculated values
The magnetic moment is 0.0000 μB/atom. As for the crystal system: tetragonal.

Cell lengths 4.938, 4.938, 4.730 Å; angles 90.00, 90.00, 90.00 degrees
Space group P4/mmm (No. 123)
Asymmetric unit:
Na1 0.000 0.500 0.000 (multiplicity 2)
Tl1 0.000 0.000 0.500 (multiplicity 1)
H1 0.500 0.500 0.000 (multiplicity 1)
Pb1 0.500 0.500 0.500 (multiplicity 1)

Version b
Na2TlHPb | GGA-PBE | relaxed

Calculated values
The magnetic moment is 0.0000 μB/atom. As for the crystal system: tetragonal.

Cell lengths 4.629, 4.629, 5.430 Å; angles 90.00, 90.00, 90.00 degrees
Space group P4/mmm (No. 123)
Asymmetric unit:
Na1 0.000 0.500 0.000 (multiplicity 2)
Tl1 0.000 0.000 0.500 (multiplicity 1)
H1 0.000 0.000 0.000 (multiplicity 1)
Pb1 0.500 0.500 0.500 (multiplicity 1)

Going by the computed energies, the most stable comes first: version b, version a.

Version a
NaTl2HPb | GGA-PBE | relaxed

Calculated values
The magnetic moment is 0.0000 μB/atom. As for the crystal system: tetragonal.

Cell lengths 5.347, 5.347, 4.459 Å; angles 90.00, 90.00, 90.00 degrees
Space group P4/mmm (No. 123)
Asymmetric unit:
Na1 0.000 0.000 0.000 (multiplicity 1)
Tl1 0.000 0.500 0.500 (multiplicity 2)
H1 0.500 0.500 0.500 (multiplicity 1)
Pb1 0.500 0.500 0.000 (multiplicity 1)

Version b
NaTl2HPb | GGA-PBE | relaxed

Calculated values
The magnetic moment is 0.0000 μB/atom. As for the crystal system: tetragonal.

Cell lengths 5.378, 5.378, 4.249 Å; angles 90.00, 90.00, 90.00 degrees
Space group P4/mmm (No. 123)
Asymmetric unit:
Na1 0.000 0.000 0.000 (multiplicity 1)
Tl1 0.000 0.500 0.500 (multiplicity 2)
H1 0.000 0.000 0.500 (multiplicity 1)
Pb1 0.500 0.500 0.000 (multiplicity 1)

Going by the computed energies, the most stable comes first: version b, version a.

Version a
NaHPd3 | GGA-PBE | relaxed

Calculated values
The magnetic moment is 0.0000 μB/atom. As for the crystal system: trigonal.

Cell lengths 4.8430, 4.8430, 22.0622 Å; angles 90.00, 90.00, 120.00 degrees
Space group R-3 (No. 148, hexagonal axes)
Asymmetric unit:
Na1 0.0000 0.0000 0.1664 (multiplicity 6)
H1 0.0000 0.0000 0.4249 (multiplicity 6)
Pd1 0.0000 0.3331 0.0534 (multiplicity 18)

Version b
NaHPd3 | GGA-PBE | relaxed

Calculated values
The magnetic moment is 0.0000 μB/atom. As for the crystal system: monoclinic.

Cell lengths 7.976, 8.466, 5.608 Å; angles 90.00, 134.63, 90.00 degrees
Space group Cm (No. 8)
Asymmetric unit:
Na1 0.000 0.000 0.000 (multiplicity 2)
Na2 0.001 0.000 0.501 (multiplicity 2)
H1 0.494 0.220 0.994 (multiplicity 4)
Pd1 0.000 0.500 0.500 (multiplicity 2)
Pd2 0.001 0.500 0.001 (multiplicity 2)
Pd3 0.250 0.250 0.000 (multiplicity 4)
Pd4 0.250 0.250 0.500 (multiplicity 4)

Version c
NaHPd3 | GGA-PBE | relaxed

Calculated values
The magnetic moment is 0.0000 μB/atom. As for the crystal system: monoclinic.

Cell lengths 4.787, 5.984, 4.877 Å; angles 90.00, 90.96, 90.00 degrees
Space group P2_1/m (No. 11)
Asymmetric unit:
Na1 0.235 0.250 0.177 (multiplicity 2)
H1 0.089 0.250 0.717 (multiplicity 2)
Pd1 0.260 0.509 0.675 (multiplicity 4)
Pd2 0.266 0.750 0.189 (multiplicity 2)

Going by the computed energies, the most stable comes first: version b, version a, version c.

Version a
NaHPd3 | GGA-PBE | relaxed

Calculated values
The magnetic moment is 0.0000 μB/atom. As for the crystal system: orthorhombic.

Cell lengths 5.382, 14.245, 5.344 Å; angles 90.00, 90.00, 90.00 degrees
Space group Cmcm (No. 63)
Asymmetric unit:
Na1 0.000 0.182 0.250 (multiplicity 4)
H1 0.000 0.444 0.250 (multiplicity 4)
Pd1 0.000 0.000 0.000 (multiplicity 4)
Pd2 0.248 0.370 0.250 (multiplicity 8)

Version b
NaHPd3 | GGA-PBE | relaxed

Calculated values
The magnetic moment is 0.0000 μB/atom. As for the crystal system: monoclinic.

Cell lengths 10.130, 5.685, 5.608 Å; angles 90.00, 123.56, 90.00 degrees
Space group C2/m (No. 12)
Asymmetric unit:
Na1 0.004 0.000 0.253 (multiplicity 4)
H1 0.211 0.500 0.968 (multiplicity 4)
Pd1 0.008 0.500 0.258 (multiplicity 4)
Pd2 0.249 0.250 0.749 (multiplicity 8)

Version c
NaHPd3 | GGA-PBE | relaxed

Calculated values
The magnetic moment is 0.0000 μB/atom. As for the crystal system: monoclinic.

Cell lengths 14.857, 2.795, 6.856 Å; angles 90.00, 97.64, 90.00 degrees
Space group C2/m (No. 12)
Asymmetric unit:
Na1 0.211 0.000 0.312 (multiplicity 4)
H1 0.085 0.500 0.831 (multiplicity 4)
Pd1 0.024 0.000 0.200 (multiplicity 4)
Pd2 0.091 0.500 0.559 (multiplicity 4)
Pd3 0.166 0.000 0.915 (multiplicity 4)

Version d
NaHPd3 | GGA-PBE | relaxed

Calculated values
The magnetic moment is 0.0000 μB/atom. As for the crystal system: hexagonal.

Cell lengths 2.9546, 2.9546, 18.9214 Å; angles 90.00, 90.00, 120.00 degrees
Space group P6_3/mmc (No. 194)
Asymmetric unit:
Na1 0.0000 0.0000 0.0000 (multiplicity 2)
H1 0.3333 0.6667 0.2500 (multiplicity 2)
Pd1 0.0000 0.0000 0.2500 (multiplicity 2)
Pd2 0.3333 0.6667 0.1271 (multiplicity 4)

Going by the computed energies, the most stable comes first: version b, version c, version d, version a.

Version a
NaHPd3 | GGA-PBE | relaxed

Calculated values
The magnetic moment is 0.0000 μB/atom. As for the crystal system: monoclinic.

Cell lengths 9.559, 11.721, 4.990 Å; angles 90.00, 90.72, 90.00 degrees
Space group C2/c (No. 15)
Asymmetric unit:
Na1 0.134 0.070 0.085 (multiplicity 8)
H1 0.000 0.281 0.750 (multiplicity 4)
H2 0.000 0.422 0.250 (multiplicity 4)
Pd1 0.122 0.437 0.568 (multiplicity 8)
Pd2 0.124 0.313 0.085 (multiplicity 8)
Pd3 0.133 0.197 0.591 (multiplicity 8)

Version b
NaHPd3 | GGA-PBE | relaxed

Calculated values
The magnetic moment is 0.0000 μB/atom. As for the crystal system: orthorhombic.

Cell lengths 2.714, 5.330, 14.246 Å; angles 90.00, 90.00, 90.00 degrees
Space group Amm2 (No. 38)
Asymmetric unit:
Na1 0.000 0.000 0.000 (multiplicity 2)
H1 0.500 0.000 0.654 (multiplicity 2)
Pd1 0.000 0.245 0.181 (multiplicity 4)
Pd2 0.500 0.000 0.818 (multiplicity 2)

Going by the computed energies, the most stable comes first: version a, version b.

Version a
NaH4Pd2 | GGA-PBE | relaxed

Calculated values
The magnetic moment is 0.0000 μB/atom. As for the crystal system: monoclinic.

Cell lengths 4.954, 2.994, 5.531 Å; angles 90.00, 108.06, 90.00 degrees
Space group P2/m (No. 10)
Asymmetric unit:
Na1 0.000 0.000 0.000 (multiplicity 1)
H1 0.221 0.000 0.656 (multiplicity 2)
H2 0.284 0.500 0.345 (multiplicity 2)
Pd1 0.000 0.500 0.500 (multiplicity 1)
Pd2 0.500 0.000 0.500 (multiplicity 1)

Version b
NaH4Pd2 | GGA-PBE | relaxed

Calculated values
The magnetic moment is 0.0000 μB/atom. As for the crystal system: orthorhombic.

Cell lengths 2.914, 9.785, 9.056 Å; angles 90.00, 90.00, 90.00 degrees
Space group Cmcm (No. 63)
Asymmetric unit:
Na1 0.000 0.103 0.250 (multiplicity 4)
H1 0.000 0.000 0.000 (multiplicity 4)
H2 0.000 0.251 0.594 (multiplicity 8)
H3 0.000 0.429 0.250 (multiplicity 4)
Pd1 0.000 0.366 0.066 (multiplicity 8)

Going by the computed energies, the most stable comes first: version b, version a.